1) {"formula": "B2Sb2Pd", "functional": "GGA-PBE", "state": "relaxed", "sg": "P4/mbm", "rho_g_cm3": 6.2, "m_tot_mub_per_cell": 0.00, "lattice_angstrom": [[7.414, 0.000, 0.000], [0.000, 7.414, 0.000], [0.000, 0.000, 3.632]], "species": ["B", "B", "B", "B", "Sb", "Sb", "Sb", "Sb", "Pd", "Pd"], "frac_coords": [[0.076, 0.424, 0.000], [0.424, 0.924, 0.000], [0.576, 0.076, 0.000], [0.924, 0.576, 0.000], [0.205, 0.295, 0.500], [0.295, 0.795, 0.500], [0.705, 0.205, 0.500], [0.795, 0.705, 0.500], [0.000, 0.000, 0.500], [0.500, 0.500, 0.500]]}

---

2) {"formula": "B2Sb2Pd", "functional": "GGA-PBE", "state": "relaxed", "sg": "I4/mmm", "rho_g_cm3": 7.9, "m_tot_mub_per_cell": 0.00, "lattice_angstrom": [[-1.552, 1.552, 8.126], [1.552, -1.552, 8.126], [1.552, 1.552, -8.126]], "species": ["B", "B", "Sb", "Sb", "Pd"], "frac_coords": [[0.250, 0.750, 0.500], [0.750, 0.250, 0.500], [0.120, 0.120, 0.000], [0.880, 0.880, 0.000], [0.500, 0.500, 0.000]]}

---

Most stable structure: 1)

---

1) {"formula": "ScBPd3", "functional": "GGA-PBE", "state": "relaxed", "sg": "Pm-3m", "rho_g_cm3": 8.2, "m_tot_mub_per_cell": 0.00, "lattice_angstrom": [[4.232, 0.000, 0.000], [0.000, 4.232, 0.000], [0.000, 0.000, 4.232]], "species": ["Sc", "B", "Pd", "Pd", "Pd"], "frac_coords": [[0.000, 0.000, 0.000], [0.500, 0.500, 0.500], [0.000, 0.500, 0.500], [0.500, 0.000, 0.500], [0.500, 0.500, 0.000]]}

---

2) {"formula": "ScBPd3", "functional": "GGA-PBE", "state": "relaxed", "sg": "Pm-3m", "rho_g_cm3": 5.8, "m_tot_mub_per_cell": 0.00, "lattice_angstrom": [[4.766, 0.000, 0.000], [0.000, 4.766, 0.000], [0.000, 0.000, 4.766]], "species": ["Sc", "B", "Pd", "Pd", "Pd"], "frac_coords": [[0.000, 0.000, 0.000], [0.500, 0.500, 0.500], [0.000, 0.000, 0.500], [0.000, 0.500, 0.000], [0.500, 0.000, 0.000]]}

---

Most stable structure: 1)

---

1) {"formula": "ScB2Pd", "functional": "GGA-PBE", "state": "relaxed", "sg": "Fm-3m", "rho_g_cm3": 6.1, "m_tot_mub_per_cell": 0.00, "lattice_angstrom": [[0.000, 2.861, 2.861], [2.861, 0.000, 2.861], [2.861, 2.861, 0.000]], "species": ["Sc", "B", "B", "Pd"], "frac_coords": [[0.000, 0.000, 0.000], [0.250, 0.250, 0.250], [0.750, 0.750, 0.750], [0.500, 0.500, 0.500]]}

---

2) {"formula": "ScB2Pd", "functional": "GGA-PBE", "state": "relaxed", "sg": "I4_1/amd", "rho_g_cm3": 5.3, "m_tot_mub_per_cell": 0.00, "lattice_angstrom": [[-1.894, 1.894, 7.541], [1.894, -1.894, 7.541], [1.894, 1.894, -7.541]], "species": ["Sc", "Sc", "B", "B", "B", "B", "Pd", "Pd"], "frac_coords": [[0.375, 0.625, 0.750], [0.625, 0.375, 0.250], [0.000, 0.000, 0.000], [0.000, 0.000, 0.500], [0.000, 0.500, 0.000], [0.500, 0.000, 0.500], [0.125, 0.875, 0.250], [0.875, 0.125, 0.750]]}

---

Most stable structure: 2)

---

1) {"formula": "BPd3Se", "functional": "GGA-PBE", "state": "relaxed", "sg": "Pm-3m", "rho_g_cm3": 9.0, "m_tot_mub_per_cell": 0.00, "lattice_angstrom": [[4.231, 0.000, 0.000], [0.000, 4.231, 0.000], [0.000, 0.000, 4.231]], "species": ["B", "Pd", "Pd", "Pd", "Se"], "frac_coords": [[0.000, 0.000, 0.000], [0.000, 0.000, 0.500], [0.000, 0.500, 0.000], [0.500, 0.000, 0.000], [0.500, 0.500, 0.500]]}

---

2) {"formula": "BPd3Se", "functional": "GGA-PBE", "state": "relaxed", "sg": "P-1", "rho_g_cm3": 8.8, "m_tot_mub_per_cell": 0.00, "lattice_angstrom": [[3.319, 0.000, 0.000], [-0.796, 6.625, 0.000], [-0.652, -1.929, 7.024]], "species": ["B", "B", "Pd", "Pd", "Pd", "Pd", "Pd", "Pd", "Se", "Se"], "frac_coords": [[0.196, 0.335, 0.429], [0.804, 0.665, 0.571], [0.063, 0.056, 0.209], [0.310, 0.558, 0.717], [0.317, 0.790, 0.451], [0.683, 0.210, 0.549], [0.690, 0.442, 0.283], [0.937, 0.944, 0.791], [0.473, 0.758, 0.105], [0.527, 0.242, 0.895]]}

---

3) {"formula": "BPd3Se", "functional": "GGA-PBE", "state": "relaxed", "sg": "Pm-3m", "rho_g_cm3": 6.6, "m_tot_mub_per_cell": 0.00, "lattice_angstrom": [[4.684, 0.000, 0.000], [0.000, 4.684, 0.000], [0.000, 0.000, 4.684]], "species": ["B", "Pd", "Pd", "Pd", "Se"], "frac_coords": [[0.000, 0.000, 0.000], [0.000, 0.500, 0.500], [0.500, 0.000, 0.500], [0.500, 0.500, 0.000], [0.500, 0.500, 0.500]]}

---

Most stable structure: 2)

---

1) {"formula": "BPd2Se", "functional": "GGA-PBE", "state": "relaxed", "sg": "Fm-3m", "rho_g_cm3": 8.9, "m_tot_mub_per_cell": 0.00, "lattice_angstrom": [[0.000, 3.050, 3.050], [3.050, 0.000, 3.050], [3.050, 3.050, 0.000]], "species": ["B", "Pd", "Pd", "Se"], "frac_coords": [[0.000, 0.000, 0.000], [0.250, 0.250, 0.250], [0.750, 0.750, 0.750], [0.500, 0.500, 0.500]]}

---

2) {"formula": "BPd2Se", "functional": "GGA-PBE", "state": "relaxed", "sg": "I-42d", "rho_g_cm3": 7.1, "m_tot_mub_per_cell": 0.00, "lattice_angstrom": [[-2.465, 2.465, 5.793], [2.465, -2.465, 5.793], [2.465, 2.465, -5.793]], "species": ["B", "B", "Pd", "Pd", "Pd", "Pd", "Se", "Se"], "frac_coords": [[0.000, 0.000, 0.000], [0.750, 0.250, 0.500], [0.043, 0.625, 0.918], [0.375, 0.293, 0.418], [0.707, 0.125, 0.082], [0.875, 0.957, 0.582], [0.250, 0.750, 0.500], [0.500, 0.500, 0.000]]}

---

Most stable structure: 2)

---

1) {"formula": "Si3BPd", "functional": "GGA-PBE", "state": "relaxed", "sg": "Pm-3m", "rho_g_cm3": 4.8, "m_tot_mub_per_cell": 0.00, "lattice_angstrom": [[4.108, 0.000, 0.000], [0.000, 4.108, 0.000], [0.000, 0.000, 4.108]], "species": ["Si", "Si", "Si", "B", "Pd"], "frac_coords": [[0.000, 0.000, 0.500], [0.000, 0.500, 0.000], [0.500, 0.000, 0.000], [0.000, 0.000, 0.000], [0.500, 0.500, 0.500]]}

---

2) {"formula": "Si3BPd", "functional": "GGA-PBE", "state": "relaxed", "sg": "Pm-3m", "rho_g_cm3": 3.3, "m_tot_mub_per_cell": 0.00, "lattice_angstrom": [[4.646, 0.000, 0.000], [0.000, 4.646, 0.000], [0.000, 0.000, 4.646]], "species": ["Si", "Si", "Si", "B", "Pd"], "frac_coords": [[0.000, 0.000, 0.500], [0.000, 0.500, 0.000], [0.500, 0.000, 0.000], [0.500, 0.500, 0.500], [0.000, 0.000, 0.000]]}

---

Most stable structure: 1)

---

1) {"formula": "SnBPd3", "functional": "GGA-PBE", "state": "relaxed", "sg": "Pm-3m", "rho_g_cm3": 6.1, "m_tot_mub_per_cell": 0.00, "lattice_angstrom": [[4.966, 0.000, 0.000], [0.000, 4.966, 0.000], [0.000, 0.000, 4.966]], "species": ["Sn", "B", "Pd", "Pd", "Pd"], "frac_coords": [[0.000, 0.000, 0.000], [0.500, 0.500, 0.500], [0.000, 0.000, 0.500], [0.000, 0.500, 0.000], [0.500, 0.000, 0.000]]}

---

2) {"formula": "SnBPd3", "functional": "GGA-PBE", "state": "relaxed", "sg": "Pm-3m", "rho_g_cm3": 9.7, "m_tot_mub_per_cell": 0.00, "lattice_angstrom": [[4.258, 0.000, 0.000], [0.000, 4.258, 0.000], [0.000, 0.000, 4.258]], "species": ["Sn", "B", "Pd", "Pd", "Pd"], "frac_coords": [[0.000, 0.000, 0.000], [0.500, 0.500, 0.500], [0.000, 0.500, 0.500], [0.500, 0.000, 0.500], [0.500, 0.500, 0.000]]}

---

Most stable structure: 2)

---

1) {"formula": "SnBPd2", "functional": "GGA-PBE", "state": "relaxed", "sg": "Fm-3m", "rho_g_cm3": 9.4, "m_tot_mub_per_cell": 0.00, "lattice_angstrom": [[0.000, 3.112, 3.112], [3.112, 0.000, 3.112], [3.112, 3.112, 0.000]], "species": ["Sn", "B", "Pd", "Pd"], "frac_coords": [[0.000, 0.000, 0.000], [0.500, 0.500, 0.500], [0.250, 0.250, 0.250], [0.750, 0.750, 0.750]]}

---

2) {"formula": "SnBPd2", "functional": "GGA-PBE", "state": "relaxed", "sg": "I-42d", "rho_g_cm3": 7.4, "m_tot_mub_per_cell": 0.00, "lattice_angstrom": [[-2.638, 2.638, 5.509], [2.638, -2.638, 5.509], [2.638, 2.638, -5.509]], "species": ["Sn", "Sn", "B", "B", "Pd", "Pd", "Pd", "Pd"], "frac_coords": [[0.000, 0.000, 0.000], [0.750, 0.250, 0.500], [0.250, 0.750, 0.500], [0.500, 0.500, 0.000], [0.233, 0.625, 0.108], [0.375, 0.483, 0.608], [0.517, 0.125, 0.892], [0.875, 0.767, 0.392]]}

---

Most stable structure: 2)

---

1) {"formula": "SrBPd", "functional": "GGA-PBE", "state": "relaxed", "sg": "Pmm2", "rho_g_cm3": 5.6, "m_tot_mub_per_cell": 0.00, "lattice_angstrom": [[3.446, 0.000, 0.000], [0.000, 4.475, 0.000], [0.000, 0.000, 7.843]], "species": ["Sr", "Sr", "B", "B", "Pd", "Pd"], "frac_coords": [[0.000, 0.000, 0.000], [0.000, 0.500, 0.423], [0.256, 0.500, 0.762], [0.744, 0.500, 0.762], [0.500, 0.000, 0.680], [0.500, 0.500, 0.047]]}

---

2) {"formula": "SrBPd", "functional": "GGA-PBE", "state": "relaxed", "sg": "Cm", "rho_g_cm3": 5.6, "m_tot_mub_per_cell": 0.00, "lattice_angstrom": [[5.036, -2.173, 0.000], [5.036, 2.173, 0.000], [-2.149, 0.000, 5.534]], "species": ["Sr", "Sr", "B", "B", "Pd", "Pd"], "frac_coords": [[0.000, 0.000, 0.000], [0.594, 0.594, 0.555], [0.283, 0.283, 0.408], [0.311, 0.311, 0.155], [0.296, 0.296, 0.782], [0.797, 0.797, 0.278]]}

---

Most stable structure: 2)

---

1) {"formula": "SrBPd3", "functional": "GGA-PBE", "state": "relaxed", "sg": "Imma", "rho_g_cm3": 8.1, "m_tot_mub_per_cell": 0.00, "lattice_angstrom": [[-3.012, 4.454, 3.177], [3.012, -4.454, 3.177], [3.012, 4.454, -3.177]], "species": ["Sr", "Sr", "B", "B", "Pd", "Pd", "Pd", "Pd", "Pd", "Pd"], "frac_coords": [[0.287, 0.037, 0.250], [0.713, 0.963, 0.750], [0.000, 0.500, 0.500], [0.500, 0.500, 0.000], [0.208, 0.458, 0.750], [0.233, 0.000, 0.733], [0.233, 0.500, 0.233], [0.767, 0.000, 0.267], [0.767, 0.500, 0.767], [0.792, 0.542, 0.250]]}

---

2) {"formula": "SrBPd3", "functional": "GGA-PBE", "state": "relaxed", "sg": "Pm-3m", "rho_g_cm3": 4.9, "m_tot_mub_per_cell": 0.00, "lattice_angstrom": [[5.196, 0.000, 0.000], [0.000, 5.196, 0.000], [0.000, 0.000, 5.196]], "species": ["Sr", "B", "Pd", "Pd", "Pd"], "frac_coords": [[0.000, 0.000, 0.000], [0.500, 0.500, 0.500], [0.000, 0.000, 0.500], [0.000, 0.500, 0.000], [0.500, 0.000, 0.000]]}

---

Most stable structure: 1)

---

1) {"formula": "SrB3Pd", "functional": "GGA-PBE", "state": "relaxed", "sg": "Pm-3m", "rho_g_cm3": 3.5, "m_tot_mub_per_cell": 0.00, "lattice_angstrom": [[4.734, 0.000, 0.000], [0.000, 4.734, 0.000], [0.000, 0.000, 4.734]], "species": ["Sr", "B", "B", "B", "Pd"], "frac_coords": [[0.000, 0.000, 0.000], [0.000, 0.000, 0.500], [0.000, 0.500, 0.000], [0.500, 0.000, 0.000], [0.500, 0.500, 0.500]]}

---

2) {"formula": "SrB3Pd", "functional": "GGA-PBE", "state": "relaxed", "sg": "Pm-3m", "rho_g_cm3": 5.0, "m_tot_mub_per_cell": 0.00, "lattice_angstrom": [[4.224, 0.000, 0.000], [0.000, 4.224, 0.000], [0.000, 0.000, 4.224]], "species": ["Sr", "B", "B", "B", "Pd"], "frac_coords": [[0.000, 0.000, 0.000], [0.000, 0.500, 0.500], [0.500, 0.000, 0.500], [0.500, 0.500, 0.000], [0.500, 0.500, 0.500]]}

---

Most stable structure: 2)

---

1) {"formula": "TcBPd", "functional": "GGA-PBE", "state": "relaxed", "sg": "Cmcm", "rho_g_cm3": 9.6, "m_tot_mub_per_cell": 0.00, "lattice_angstrom": [[1.374, -6.893, 0.000], [1.374, 6.893, 0.000], [0.000, 0.000, 3.933]], "species": ["Tc", "Tc", "B", "B", "Pd", "Pd"], "frac_coords": [[0.058, 0.942, 0.750], [0.942, 0.058, 0.250], [0.426, 0.574, 0.750], [0.574, 0.426, 0.250], [0.201, 0.799, 0.250], [0.799, 0.201, 0.750]]}

---

2) {"formula": "TcBPd", "functional": "GGA-PBE", "state": "relaxed", "sg": "Cm", "rho_g_cm3": 9.7, "m_tot_mub_per_cell": 0.00, "lattice_angstrom": [[4.579, -1.479, 0.000], [4.579, 1.479, 0.000], [-0.086, 0.000, 5.429]], "species": ["Tc", "Tc", "B", "B", "Pd", "Pd"], "frac_coords": [[0.000, 0.000, 0.000], [0.707, 0.707, 0.226], [0.373, 0.373, 0.190], [0.589, 0.589, 0.737], [0.259, 0.259, 0.733], [0.986, 0.986, 0.489]]}

---

Most stable structure: 2)

---

1) {"formula": "TcB3Pd", "functional": "GGA-PBE", "state": "relaxed", "sg": "Pm-3m", "rho_g_cm3": 6.0, "m_tot_mub_per_cell": 0.00, "lattice_angstrom": [[4.042, 0.000, 0.000], [0.000, 4.042, 0.000], [0.000, 0.000, 4.042]], "species": ["Tc", "B", "B", "B", "Pd"], "frac_coords": [[0.000, 0.000, 0.000], [0.000, 0.000, 0.500], [0.000, 0.500, 0.000], [0.500, 0.000, 0.000], [0.500, 0.500, 0.500]]}

---

2) {"formula": "TcB3Pd", "functional": "GGA-PBE", "state": "relaxed", "sg": "Pm-3m", "rho_g_cm3": 6.3, "m_tot_mub_per_cell": 0.00, "lattice_angstrom": [[3.961, 0.000, 0.000], [0.000, 3.961, 0.000], [0.000, 0.000, 3.961]], "species": ["Tc", "B", "B", "B", "Pd"], "frac_coords": [[0.000, 0.000, 0.000], [0.000, 0.500, 0.500], [0.500, 0.000, 0.500], [0.500, 0.500, 0.000], [0.500, 0.500, 0.500]]}

---

Most stable structure: 1)